1.
VASP calculation (GGA-PBE) on a relaxed structure of YCuOs.

Cell lengths 4.528, 4.528, 4.528 Å; angles 60.00, 60.00, 60.00 degrees
Site moments in Bohr magnetons follow the coordinates.
Fractional positions:
Cu (0.000, 0.000, 0.000)  0.01
Os (0.500, 0.500, 0.500)  0.34
Y (0.750, 0.750, 0.750)  -0.01

Properties
SG   F-43m (216)
Energy above the most stable polymorph in this dataset   1328 meV per atom
Density   8.67 g/cm3
Energy   -6.19 eV/atom

---

2.
VASP calculation (GGA-PBE) on a relaxed structure of Li4SmCu2.

Cell lengths 3.907, 3.903, 8.768 Å; angles 102.86, 90.00, 90.00 degrees
Fractional positions:
Li (0.500, 0.821, 0.642)
Li (0.000, 0.677, 0.355)
Li (0.500, 0.179, 0.358)
Li (0.000, 0.323, 0.645)
Sm (0.000, 0.000, 0.000)
Cu (0.500, 0.573, 0.146)
Cu (0.500, 0.427, 0.854)

Properties
SG   Cmmm (65)
Density   3.89 g/cm3
Energy   -3.00 eV/atom

---

3.
VASP calculation (GGA-PBE) on a relaxed structure of TcI3Br.

Cell lengths 5.935, 5.935, 5.935 Å; angles 90.00, 90.00, 90.00 degrees
Site moments in Bohr magnetons follow the coordinates.
Fractional positions:
I (0.000, 0.500, 0.000)  0.04
I (0.000, 0.000, 0.500)  0.04
I (0.500, 0.000, 0.000)  0.04
Tc (0.500, 0.500, 0.500)  4.31
Br (0.000, 0.000, 0.000)  -0.04

Properties
E_form (uncorrected)   1.207 eV/atom
SG   Pm-3m (221)
Energy above the most stable polymorph in this dataset   1314 meV per atom
Density   4.44 g/cm3
Energy   -2.13 eV/atom